Here is SiI2 after structural relaxation from the Alexandria database. Energies are from PBE.

a b c (Å): 4.167 8.330 8.977
angles (deg): 65.89 80.05 78.20
Element x y z (fractional)
Si1 0.229 0.483 0.075
Si2 0.771 0.517 0.925
I1 0.093 0.705 0.201
I2 0.275 0.176 0.287
I3 0.725 0.824 0.713
I4 0.907 0.295 0.799

Results
The value obtained for the total energy is -3.11 eV per atom. For the size of the total moment, the calculation gives 0.000 μB per atom. As for the uncorrected formation energy: -268 meV per atom.